Entry 1:
The following is a PBE calculation of a relaxed structure of CuSn2Hg2, from Alexandria via LeMat-Bulk.

a = 6.8693 Å, b = 6.8693 Å, c = 5.4324 Å
α = 90.00°, β = 90.00°, γ = 90.00°
Last column: nearest neighbours and their distance in Å.
Space group P4/mbm (No. 127)
One atom of each set of equivalent atoms:
Cu (0.0000, 0.0000, 0.0000) (multiplicity 2)  4 Sn 2.60
Sn (0.1548, 0.3452, 0.0000) (multiplicity 4)  2 Cu 2.60
Hg (0.1896, 0.6896, 0.5000) (multiplicity 4)  2 Sn 3.11

Output
total energy: -2.401 eV/atom
E_form: 140.3 meV/atom
crystal system: tetragonal
energy above the most stable polymorph in this dataset: 0 meV per atom



Entry 2:
The following is a PBE calculation of a relaxed structure of Th2GaPd3, from Alexandria via LeMat-Bulk.

a = 7.1772 Å, b = 8.9830 Å, c = 16.0769 Å
α = 90.00°, β = 90.00°, γ = 90.00°
Last column: nearest neighbours and their distance in Å.
Space group Fmmm (No. 69)
One atom of each set of equivalent atoms:
Th (0.2448, 0.0000, 0.0000) (multiplicity 8)  10 Pd 3.14-3.33, 2 Ga 3.23, 1 Th 3.51
Th (0.2500, 0.2500, 0.2500) (multiplicity 8)  8 Pd 3.11-3.21, 4 Ga 3.18
Ga (0.0000, 0.0000, 0.3344) (multiplicity 8)  3 Pd 2.52-2.55
Pd (0.0000, 0.0000, 0.1759) (multiplicity 8)  1 Ga 2.55, 2 Pd 2.75
Pd (0.0000, 0.2403, 0.4151) (multiplicity 16)  1 Ga 2.52, 2 Pd 2.73-2.75

Output
total energy: -6.363 eV/atom
E_form: -788.8 meV/atom
crystal system: orthorhombic
energy above the most stable polymorph in this dataset: 0 meV per atom



Entry 3:
The following is a PBE calculation of a relaxed structure of TiIr2PdPt, from Alexandria via LeMat-Bulk.

a = 4.5257 Å, b = 4.5257 Å, c = 4.5325 Å
α = 90.00°, β = 90.00°, γ = 90.00°
Last column: nearest neighbours and their distance in Å.
Space group P4/mmm (No. 123)
One atom of each set of equivalent atoms:
Ti (0.0000, 0.0000, 0.0000) (multiplicity 1)  4 Ir 2.26, 2 Pd 2.27
Ir (0.0000, 0.5000, 0.0000) (multiplicity 2)  2 Ti 2.26
Pd (0.0000, 0.0000, 0.5000) (multiplicity 1)  2 Ti 2.27
Pt (0.5000, 0.5000, 0.5000) (multiplicity 1)  4 Pd 3.20, 8 Ir 3.20

Output
total energy: -6.353 eV/atom
E_form: 1017.3 meV/atom
crystal system: tetragonal



Entry 4:
The following is a PBE calculation of a relaxed structure of BeV2GaGe, from Alexandria via LeMat-Bulk.

a = 4.2287 Å, b = 4.2287 Å, c = 4.0111 Å
α = 90.00°, β = 90.00°, γ = 90.00°
Last column: nearest neighbours and their distance in Å.
Space group P4/mmm (No. 123)
One atom of each set of equivalent atoms:
Be (0.0000, 0.0000, 0.0000) (multiplicity 1)  2 Ga 2.01, 4 V 2.11
V (0.0000, 0.5000, 0.0000) (multiplicity 2)  2 Be 2.11
Ga (0.0000, 0.0000, 0.5000) (multiplicity 1)  2 Be 2.01
Ge (0.5000, 0.5000, 0.5000) (multiplicity 1)  8 V 2.91, 4 Ga 2.99

Output
total energy: -5.449 eV/atom
E_form: 472.5 meV/atom
crystal system: tetragonal